Ba2PaMo3O12 | PBE with a Hubbard U | optimized geometry

## Properties
- Crystal system: trigonal
- VASP energy: -7.517 eV per atom
- Size of the total moment: 3.00 μB/f.u.

Lattice parameters (Å, degrees): 7.5219 7.5219 19.0607 90.00 90.00 120.00
Space group R-3m (No. 166, hexagonal axes)
One atom of each set of equivalent atoms:
Ba: 0.0000 0.0000 0.1858 (multiplicity 6)
Pa: 0.0000 0.0000 0.5000 (multiplicity 3)
Mo: 0.0000 0.5000 0.0000 (multiplicity 9)
O: 0.0527 0.5264 0.1046 (multiplicity 18)
O: 0.0875 0.5437 0.3536 (multiplicity 18)